# 1
First-principles (GGA-PBE) data for a relaxed structure of V2Cr5W, as listed in Alexandria.

a = 2.787 Å, b = 6.861 Å, c = 10.806 Å
α = 90.00°, β = 90.00°, γ = 90.00°
Positions (direct):
V  0.000  0.000  0.233
V  0.000  0.000  0.767
V  0.500  0.500  0.267
V  0.500  0.500  0.733
Cr  0.000  0.000  0.500
Cr  0.000  0.285  0.130
Cr  0.000  0.285  0.870
Cr  0.000  0.715  0.130
Cr  0.000  0.715  0.870
Cr  0.500  0.215  0.370
Cr  0.500  0.215  0.630
Cr  0.500  0.500  0.000
Cr  0.500  0.785  0.370
Cr  0.500  0.785  0.630
W  0.000  0.500  0.500
W  0.500  0.000  0.000

Calculated values
**DOS(E_F)**: 16.7 states/eV per cell
**DFT formation energy**: 317 meV/atom
**Space-group type**: Immm, No. 71

=====

# 2
First-principles (GGA-PBE) data for a relaxed structure of TlRe2Ni, as listed in Alexandria.

a = 6.291 Å, b = 6.291 Å, c = 6.291 Å
α = 90.00°, β = 90.00°, γ = 90.00°
Positions (direct):
Tl  0.000  0.000  0.000
Tl  0.000  0.500  0.500
Tl  0.500  0.000  0.500
Tl  0.500  0.500  0.000
Re  0.250  0.250  0.250
Re  0.250  0.250  0.750
Re  0.250  0.750  0.250
Re  0.250  0.750  0.750
Re  0.750  0.250  0.250
Re  0.750  0.250  0.750
Re  0.750  0.750  0.250
Re  0.750  0.750  0.750
Ni  0.000  0.000  0.500
Ni  0.000  0.500  0.000
Ni  0.500  0.000  0.000
Ni  0.500  0.500  0.500

Calculated values
**DOS(E_F)**: 17.7 states/eV per cell
**Energy above the most stable polymorph in this dataset**: 0.479 eV/atom
**DFT formation energy**: 999 meV/atom
**Space-group type**: Fm-3m, No. 225

=====

# 3
First-principles (GGA-PBE) data for a relaxed structure of KSIO2, as listed in Alexandria.

a = 4.659 Å, b = 4.659 Å, c = 7.506 Å
α = 90.00°, β = 90.00°, γ = 90.00°
Positions (direct):
K  0.000  0.000  0.000
S  0.500  0.500  0.500
I  0.000  0.000  0.500
O  0.000  0.500  0.000
O  0.500  0.000  0.000

Calculated values
**DOS(E_F)**: 5.0 states/eV per cell
**Energy relative to the elements, uncorrected**: 0.901 eV per atom
**Space-group type**: P4/mmm, No. 123

=====

# 4
First-principles (GGA-PBE) data for a relaxed structure of Nb14AlMo, as listed in Alexandria.

a = 6.588 Å, b = 6.588 Å, c = 6.620 Å
α = 90.00°, β = 90.00°, γ = 90.00°
Positions (direct):
Nb  0.000  0.000  0.000
Nb  0.000  0.500  0.000
Nb  0.000  0.500  0.500
Nb  0.246  0.246  0.252
Nb  0.246  0.246  0.748
Nb  0.246  0.754  0.252
Nb  0.246  0.754  0.748
Nb  0.500  0.000  0.000
Nb  0.500  0.000  0.500
Nb  0.500  0.500  0.000
Nb  0.754  0.246  0.252
Nb  0.754  0.246  0.748
Nb  0.754  0.754  0.252
Nb  0.754  0.754  0.748
Al  0.500  0.500  0.500
Mo  0.000  0.000  0.500

Calculated values
**DOS(E_F)**: 18.7 states/eV per cell
**DFT formation energy**: -65 meV/atom
**Space-group type**: P4/mmm, No. 123

=====

# 5
First-principles (GGA-PBE) data for a relaxed structure of CoCuBr, as listed in Alexandria.

a = 3.279 Å, b = 3.279 Å, c = 17.278 Å
α = 90.00°, β = 90.00°, γ = 120.00°
Positions (direct):
Co  0.000  0.000  0.000
Co  0.333  0.667  0.667
Co  0.667  0.333  0.333
Cu  0.000  0.000  0.572
Cu  0.333  0.667  0.239
Cu  0.667  0.333  0.905
Br  0.000  0.000  0.424
Br  0.333  0.667  0.091
Br  0.667  0.333  0.757

Calculated values
**DOS(E_F)**: 13.4 states/eV per cell
**Energy relative to the elements, uncorrected**: 0.458 eV per atom
**Energy above the most stable polymorph in this dataset**: 0.000 eV/atom
**Space-group type**: R3m, No. 160

=====

# 6
First-principles (GGA-PBE) data for a relaxed structure of Ba3Ga2Si3, as listed in Alexandria.

a = 6.817 Å, b = 6.817 Å, c = 15.186 Å
α = 90.00°, β = 90.00°, γ = 140.25°
Positions (direct):
Ba  0.073  0.927  0.604
Ba  0.073  0.927  0.896
Ba  0.357  0.643  0.750
Ba  0.643  0.357  0.250
Ba  0.927  0.073  0.104
Ba  0.927  0.073  0.396
Ga  0.231  0.769  0.101
Ga  0.231  0.769  0.399
Ga  0.769  0.231  0.601
Ga  0.769  0.231  0.899
Si  0.335  0.665  0.542
Si  0.335  0.665  0.958
Si  0.337  0.663  0.250
Si  0.663  0.337  0.750
Si  0.665  0.335  0.042
Si  0.665  0.335  0.458

Calculated values
**DOS(E_F)**: 5.7 states/eV per cell
**Energy relative to the elements, uncorrected**: -0.356 eV per atom
**Energy above the most stable polymorph in this dataset**: 0.004 eV/atom
**Space-group type**: Cmcm, No. 63

=====

# 7
First-principles (GGA-PBE) data for a relaxed structure of TcGeN, as listed in Alexandria.

a = 11.403 Å, b = 2.867 Å, c = 5.134 Å
α = 90.00°, β = 108.57°, γ = 90.00°
Positions (direct):
Tc  0.000  0.000  0.000
Tc  0.219  0.500  0.054
Tc  0.500  0.500  0.000
Tc  0.719  0.000  0.054
Ge  0.244  0.000  0.669
Ge  0.417  0.000  0.313
Ge  0.744  0.500  0.669
Ge  0.917  0.500  0.313
N  0.168  0.000  0.286
N  0.418  0.000  0.691
N  0.668  0.500  0.286
N  0.918  0.500  0.691

Calculated values
**DOS(E_F)**: 1.2 states/eV per cell
**Energy relative to the elements, uncorrected**: 0.020 eV per atom
**Energy above the most stable polymorph in this dataset**: 0.064 eV/atom
**Space-group type**: Cm, No. 8

=====

# 8
First-principles (GGA-PBE) data for a relaxed structure of HoTh4Tl5, as listed in Alexandria.

a = 3.554 Å, b = 3.554 Å, c = 22.762 Å
α = 90.00°, β = 90.00°, γ = 90.00°
Positions (direct):
Ho  0.000  0.000  0.000
Th  0.000  0.000  0.195
Th  0.000  0.000  0.398
Th  0.000  0.000  0.602
Th  0.000  0.000  0.805
Tl  0.500  0.500  0.093
Tl  0.500  0.500  0.297
Tl  0.500  0.500  0.500
Tl  0.500  0.500  0.703
Tl  0.500  0.500  0.907

Calculated values
**DOS(E_F)**: 12.5 states/eV per cell
**DFT formation energy**: -178 meV/atom
**Space-group type**: P4/mmm, No. 123

=====

# 9
First-principles (GGA-PBE) data for a relaxed structure of Tb4YEr, as listed in Alexandria.

a = 6.561 Å, b = 6.561 Å, c = 6.561 Å
α = 60.00°, β = 60.00°, γ = 60.00°
Positions (direct):
Tb  0.125  0.125  0.125
Tb  0.125  0.125  0.625
Tb  0.125  0.625  0.125
Tb  0.625  0.125  0.125
Y  0.750  0.750  0.750
Er  0.500  0.500  0.500

Calculated values
**DOS(E_F)**: 9.6 states/eV per cell
**Energy above the most stable polymorph in this dataset**: 0.229 eV/atom
**DFT formation energy**: 246 meV/atom
**Space-group type**: F-43m, No. 216

=====

# 10
First-principles (GGA-PBE) data for a relaxed structure of Nd2Y3Co, as listed in Alexandria.

a = 9.635 Å, b = 9.635 Å, c = 7.306 Å
α = 100.65°, β = 100.65°, γ = 33.72°
Positions (direct):
Nd  0.215  0.216  0.609
Nd  0.216  0.215  0.109
Nd  0.784  0.785  0.891
Nd  0.785  0.784  0.391
Y  0.018  0.982  0.750
Y  0.398  0.398  0.450
Y  0.398  0.398  0.950
Y  0.602  0.602  0.050
Y  0.602  0.602  0.550
Y  0.982  0.018  0.250
Co  0.476  0.524  0.250
Co  0.524  0.476  0.750

Calculated values
**DOS(E_F)**: 13.9 states/eV per cell
**DFT formation energy**: 39 meV/atom
**Space-group type**: C2/c, No. 15

=====

# 11
First-principles (GGA-PBE) data for a relaxed structure of Cu2PHS4, as listed in Alexandria.

a = 5.077 Å, b = 5.174 Å, c = 6.338 Å
α = 113.20°, β = 112.95°, γ = 90.97°
Positions (direct):
Cu  0.000  0.000  0.000
Cu  0.226  0.739  0.482
P  0.743  0.210  0.469
H  0.531  0.459  0.821
S  0.097  0.137  0.728
S  0.394  0.872  0.241
S  0.629  0.599  0.714
S  0.837  0.354  0.242

Calculated values
**Space-group type**: P1, No. 1
**Calculated total energy**: -4.400 eV/atom

=====

# 12
First-principles (GGA-PBE) data for a relaxed structure of HfGa3Tc, as listed in Alexandria.

a = 5.741 Å, b = 5.741 Å, c = 5.741 Å
α = 81.37°, β = 81.37°, γ = 81.37°
Positions (direct):
Hf  0.146  0.146  0.146
Hf  0.854  0.854  0.854
Ga  0.020  0.382  0.712
Ga  0.288  0.980  0.618
Ga  0.382  0.712  0.020
Ga  0.618  0.288  0.980
Ga  0.712  0.020  0.382
Ga  0.980  0.618  0.288
Tc  0.396  0.396  0.396
Tc  0.604  0.604  0.604

Calculated values
**DOS(E_F)**: 7.5 states/eV per cell
**Energy above the most stable polymorph in this dataset**: 0.000 eV/atom
**DFT formation energy**: 39 meV/atom
**Space-group type**: R-3, No. 148

=====

Ordered total magnetization results: 0.00, 0.00, 3.60, 0.00, 1.88, 0.00, 0.00, 0.10, 0.01, 0.00, 0.00, 0.00; unit μB/f.u..